Entry 1:
# Pm5Pr2Y2

A relaxed Pm5Pr2Y2 crystal (GGA-PBE, the Alexandria database).

For the total energy, the calculation gives -0.3769 Ry per atom. Its crystal system is triclinic. The energy above the most stable polymorph in this dataset comes out at 0.000 eV/atom. For the calculated formation energy, the calculation gives 0.010 eV per atom.

The structure belongs to space group P-1 (No. 2); the cell edges are 3.643, 6.314 and 14.141 Å and the angles 89.92°, 82.63° and 73.33°. The inequivalent atoms are Pm at (0.000, 0.000, 0.000), Pm at (0.002, 0.671, 0.330), Pm at (0.334, 0.115, 0.218), Pr at (0.334, 0.777, 0.558) and Y at (0.332, 0.443, 0.891).

---

Entry 2:
# Pm3Pr2Y6

A relaxed Pm3Pr2Y6 crystal (GGA-PBE, the Alexandria database).

For the total energy, the calculation gives -0.3987 Ry per atom. Its crystal system is tetragonal. The energy above the most stable polymorph in this dataset comes out at 0.085 eV/atom. For the calculated formation energy, the calculation gives 0.265 eV per atom.

The structure belongs to space group I4/mmm (No. 139); the cell edges are 4.794, 4.794 and 33.743 Å and the angles 90.00°, 90.00° and 90.00°. The inequivalent atoms are Pm at (0.000, 0.000, 0.000), Pm at (0.000, 0.000, 0.200), Pr at (0.000, 0.000, 0.454), Y at (0.000, 0.000, 0.302) and Y at (0.000, 0.500, 0.122).

---

Entry 3:
# Pm4Pr15Y

A relaxed Pm4Pr15Y crystal (GGA-PBE, the Alexandria database).

For the total energy, the calculation gives -0.3562 Ry per atom. Its crystal system is tetragonal. For the calculated formation energy, the calculation gives 0.012 eV per atom.

The structure belongs to space group P4/mmm (No. 123); the cell edges are 5.237, 5.237 and 26.077 Å and the angles 90.00°, 90.00° and 90.00°. The inequivalent atoms are Pm at (0.000, 0.000, 0.100), Pm at (0.000, 0.000, 0.301), Pr at (0.000, 0.500, 0.000), Pr at (0.000, 0.500, 0.200), Pr at (0.000, 0.500, 0.401), Pr at (0.500, 0.500, 0.100), Pr at (0.500, 0.500, 0.301), Pr at (0.500, 0.500, 0.500) and Y at (0.000, 0.000, 0.500).